{
  "formula": "Ta2Nb6Pd",
  "functional": "PBE",
  "state": "relaxed",
  "lattice_angstrom": [[4.536, 0.000, 0.000], [0.000, 4.536, 0.000], [0.000, 0.000, 8.694]],
  "species": ["Nb", "Nb", "Nb", "Ta", "Nb", "Pd", "Nb", "Nb", "Ta"],
  "fractional_positions": [[0.000, 0.500, 0.693], [0.000, 0.000, 0.500], [0.000, 0.500, 0.307], [0.500, 0.500, 0.858], [0.500, 0.000, 0.307], [0.000, 0.000, 0.000], [0.500, 0.000, 0.693], [0.500, 0.500, 0.500], [0.500, 0.500, 0.142]],
  "delta_e_f_mev_per_atom": 636,
  "space_group": "No. 123",
  "dos_ef_per_ev_cell": 11.78,
  "mass_density_g_cm3": 9.52,
  "de_polymorph_mev_per_atom": 595
}

=====

{
  "formula": "Cu2TeRhO6",
  "functional": "PBE",
  "state": "relaxed",
  "lattice_angstrom": [[-1.949, -0.580, 5.150], [-2.796, -6.659, 0.608], [5.031, -3.427, 3.934]],
  "species": ["O", "O", "O", "Te", "O", "O", "O", "Cu", "Rh", "Cu", "O", "O", "Cu", "O", "O", "O", "Te", "Cu", "Rh", "O"],
  "fractional_positions": [[0.642, 0.156, 0.658], [0.358, 0.844, 0.342], [0.346, 0.181, 0.014], [0.250, 0.268, 0.732], [0.154, 0.986, 0.819], [0.704, 0.736, 0.543], [0.858, 0.342, 0.844], [0.187, 0.361, 0.216], [0.250, 0.909, 0.091], [0.313, 0.784, 0.639], [0.846, 0.014, 0.181], [0.654, 0.819, 0.986], [0.813, 0.639, 0.784], [0.204, 0.543, 0.736], [0.296, 0.264, 0.457], [0.142, 0.658, 0.156], [0.750, 0.732, 0.268], [0.687, 0.216, 0.361], [0.750, 0.091, 0.909], [0.796, 0.457, 0.264]],
  "raw_formation_energy_ev_per_fu": -6.82,
  "space_group": "No. 15",
  "dos_ef_per_ev_cell": 13.96,
  "mass_density_g_cm3": 5.78
}

=====

{
  "formula": "BaCu3F9",
  "functional": "PBE",
  "state": "relaxed",
  "lattice_angstrom": [[-0.645, 0.115, 3.800], [-5.257, -5.073, -0.738], [6.939, -2.057, 1.240]],
  "species": ["F", "Ba", "Cu", "F", "Cu", "F", "F", "Cu", "F", "F", "F", "F", "F"],
  "fractional_positions": [[0.500, 0.617, 0.808], [0.000, 0.000, 0.000], [0.500, 0.500, 0.000], [0.000, 0.000, 0.500], [0.500, 0.000, 0.500], [0.500, 0.808, 0.192], [0.500, 0.383, 0.192], [0.500, 0.500, 0.500], [0.500, 0.808, 0.617], [0.500, 0.192, 0.808], [0.500, 0.192, 0.383], [0.000, 0.500, 0.000], [0.000, 0.500, 0.500]],
  "raw_formation_energy_ev_per_fu": -25.73,
  "space_group": "No. 191",
  "dos_ef_per_ev_cell": 5.45,
  "mass_density_g_cm3": 4.60
}

=====

{
  "formula": "Tm4Ir2Au",
  "functional": "PBE",
  "state": "relaxed",
  "lattice_angstrom": [[4.609, 0.000, 1.440], [2.080, 4.113, 1.440], [-0.063, -0.039, 8.297]],
  "species": ["Au", "Tm", "Ir", "Tm", "Ir", "Tm", "Tm"],
  "fractional_positions": [[0.000, 0.000, 0.000], [0.128, 0.128, 0.615], [0.250, 0.250, 0.249], [0.872, 0.872, 0.385], [0.750, 0.750, 0.751], [0.621, 0.621, 0.138], [0.379, 0.379, 0.862]],
  "delta_e_f_mev_per_atom": -850,
  "space_group": "No. 166",
  "dos_ef_per_ev_cell": 4.07,
  "mass_density_g_cm3": 13.23
}

=====

{
  "formula": "TiBi3Au",
  "functional": "PBE",
  "state": "relaxed",
  "lattice_angstrom": [[5.490, 0.000, 0.000], [0.000, 5.490, 0.000], [0.000, 0.000, 5.490]],
  "species": ["Bi", "Bi", "Bi", "Au", "Ti"],
  "fractional_positions": [[0.500, 0.000, 0.000], [0.000, 0.000, 0.500], [0.000, 0.500, 0.000], [0.000, 0.000, 0.000], [0.500, 0.500, 0.500]],
  "delta_e_f_mev_per_atom": 855,
  "space_group": "No. 221",
  "dos_ef_per_ev_cell": 8.43,
  "mass_density_g_cm3": 8.75,
  "de_polymorph_mev_per_atom": 520
}

=====

{
  "formula": "KFe2Rh",
  "functional": "PBE",
  "state": "relaxed",
  "lattice_angstrom": [[-0.210, -3.008, -2.256], [2.250, -1.126, 1.292], [-2.319, -4.476, 6.183]],
  "species": ["K", "Rh", "Fe", "Fe"],
  "fractional_positions": [[0.500, 0.250, 0.250], [0.500, 0.750, 0.750], [0.000, 0.398, 0.599], [0.000, 0.102, 0.901]],
  "delta_e_f_mev_per_atom": 535,
  "space_group": "No. 10",
  "dos_ef_per_ev_cell": 3.64,
  "mass_density_g_cm3": 5.28,
  "de_polymorph_mev_per_atom": 9
}

=====

{
  "formula": "Li6Ag5Hg",
  "functional": "PBE",
  "state": "relaxed",
  "lattice_angstrom": [[-2.891, -0.925, 4.058], [-8.198, -1.529, -3.790], [-3.135, -5.154, -2.209]],
  "species": ["Li", "Ag", "Ag", "Li", "Li", "Ag", "Ag", "Li", "Li", "Ag", "Li", "Hg"],
  "fractional_positions": [[0.749, 0.085, 0.334], [0.000, 0.662, 0.675], [0.500, 0.173, 0.655], [0.749, 0.418, 0.666], [0.251, 0.915, 0.666], [0.500, 0.500, 0.000], [0.500, 0.827, 0.345], [0.748, 0.748, 0.000], [0.251, 0.582, 0.334], [0.000, 0.338, 0.325], [0.252, 0.252, 0.000], [0.000, 0.000, 0.000]],
  "delta_e_f_mev_per_atom": -161,
  "space_group": "No. 12",
  "dos_ef_per_ev_cell": 3.20,
  "mass_density_g_cm3": 6.35,
  "de_polymorph_mev_per_atom": 79
}

=====

{
  "formula": "V6ZnC",
  "functional": "PBE",
  "state": "relaxed",
  "lattice_angstrom": [[4.331, -0.325, -1.193], [1.731, 4.593, -0.977], [1.161, 1.306, 4.567]],
  "species": ["V", "V", "V", "C", "V", "V", "V", "Zn"],
  "fractional_positions": [[0.944, 0.635, 0.201], [0.588, 0.231, 0.089], [0.787, 0.937, 0.644], [0.000, 0.000, 0.000], [0.056, 0.365, 0.799], [0.412, 0.769, 0.911], [0.213, 0.063, 0.356], [0.500, 0.500, 0.500]],
  "delta_e_f_mev_per_atom": -56,
  "space_group": "No. 2",
  "dos_ef_per_ev_cell": 7.04,
  "mass_density_g_cm3": 6.18
}